AgRu2Br after structural relaxation, computed with PBE.

a b c (Å): 7.192 7.192 5.763
angles (deg): 51.39 51.39 90.00
Fractional coordinates of all 8 atoms:
Ru1 0.577 0.125 0.250
Ru2 0.173 0.625 0.250
Ru3 0.375 0.423 0.750
Ru4 0.875 0.827 0.750
Br1 0.500 0.500 0.000
Br2 0.250 0.750 0.500
Ag1 0.000 0.000 0.000
Ag2 0.750 0.250 0.500

Computed properties:
Calculated total energy (eV/atom): -4.61
Relative energy among the computed polymorphs (kcal/mol of atoms): 17.25
Formation energy from raw total energies (eV/f.u.): 4.65
Symmetry: I-42d (122)



AsPBr2N after structural relaxation, computed with PBE.

a b c (Å): 5.578 3.285 5.578
angles (deg): 90.00 90.00 90.00
Fractional coordinates of all 5 atoms:
P1 0.000 0.000 0.000
As1 0.500 0.500 0.500
Br1 0.000 0.000 0.500
Br2 0.500 0.000 0.000
N1 0.000 0.500 0.000

Computed properties:
Calculated total energy (eV/atom): -3.67
Relative energy among the computed polymorphs (kcal/mol of atoms): 0.00
Formation energy from raw total energies (eV/f.u.): 3.37
Symmetry: P4/mmm (123)



Sc2CdW after structural relaxation, computed with PBE.

a b c (Å): 2.955 5.630 5.938
angles (deg): 54.15 90.00 90.00
Fractional coordinates of all 4 atoms:
Cd1 0.000 0.000 0.500
Sc1 0.000 0.000 0.000
Sc2 0.500 0.500 0.000
W1 0.500 0.500 0.500

Computed properties:
Energy relative to the elements (meV per atom): 296.0
Calculated total energy (eV/atom): -6.34
Symmetry: P2/m (10)



PmPrNd2Bi5 after structural relaxation, computed with PBE.

a b c (Å): 5.591 5.591 12.130
angles (deg): 90.00 90.00 90.00
Fractional coordinates of all 9 atoms:
Pm1 0.000 0.000 0.000
Pr1 0.000 0.000 0.500
Nd1 0.500 0.500 0.273
Nd2 0.500 0.500 0.727
Bi1 0.000 0.500 0.500
Bi2 0.500 0.000 0.500
Bi3 0.000 0.000 0.755
Bi4 0.000 0.000 0.245
Bi5 0.500 0.500 0.000

Computed properties:
Energy relative to the elements (meV per atom): -14.5
Calculated total energy (eV/atom): -4.29
Symmetry: P4/mmm (123)



V2H2Ir after structural relaxation, computed with PBE.

a b c (Å): 2.792 2.792 6.116
angles (deg): 90.00 90.00 90.00
Fractional coordinates of all 5 atoms:
V1 0.500 0.500 0.710
V2 0.500 0.500 0.290
H1 0.500 0.000 0.500
H2 0.000 0.500 0.500
Ir1 0.000 0.000 0.000

Computed properties:
Calculated total energy (eV/atom): -7.01
Relative energy among the computed polymorphs (kcal/mol of atoms): 0.00
Symmetry: P4/mmm (123)



TbTmPd4 after structural relaxation, computed with PBE.

a b c (Å): 4.104 3.920 15.355
angles (deg): 90.00 97.68 90.00
Fractional coordinates of all 12 atoms:
Tb1 0.799 0.500 0.597
Tb2 0.201 0.500 0.403
Tm1 0.568 0.000 0.135
Tm2 0.432 0.000 0.865
Pd1 0.635 0.500 0.271
Pd2 0.365 0.500 0.729
Pd3 0.715 0.000 0.430
Pd4 0.285 0.000 0.570
Pd5 0.867 0.000 0.735
Pd6 0.133 0.000 0.265
Pd7 0.000 0.000 0.000
Pd8 0.500 0.500 0.000

Computed properties:
Energy relative to the elements (meV per atom): -723.5
Calculated total energy (eV/atom): -5.70
Relative energy among the computed polymorphs (kcal/mol of atoms): 2.12
Symmetry: Cmmm (65)



La3Tb4Y2 after structural relaxation, computed with PBE.

a b c (Å): 3.631 8.126 10.840
angles (deg): 76.60 90.00 102.91
Fractional coordinates of all 9 atoms:
La1 0.334 0.668 0.555
La2 0.000 0.000 0.000
La3 0.666 0.332 0.445
Tb1 0.667 0.334 0.110
Tb2 0.999 0.998 0.669
Tb3 0.001 0.002 0.331
Tb4 0.333 0.666 0.890
Y1 0.333 0.666 0.221
Y2 0.667 0.334 0.779

Computed properties:
Energy relative to the elements (meV per atom): 21.5
Calculated total energy (eV/atom): -5.12
Relative energy among the computed polymorphs (kcal/mol of atoms): 0.00
Symmetry: C2/m (12)



TaCuW after structural relaxation, computed with PBE.

a b c (Å): 3.230 3.230 8.950
angles (deg): 90.00 90.00 90.00
Fractional coordinates of all 6 atoms:
W1 0.000 0.500 0.588
W2 0.500 0.000 0.412
Ta1 0.000 0.500 0.232
Ta2 0.500 0.000 0.768
Cu1 0.500 0.000 0.070
Cu2 0.000 0.500 0.930

Computed properties:
Energy relative to the elements (meV per atom): 56.2
Calculated total energy (eV/atom): -9.58
Relative energy among the computed polymorphs (kcal/mol of atoms): 0.00
Symmetry: P4/nmm (129)



SmErBiS after structural relaxation, computed with PBE.

a b c (Å): 4.104 4.105 7.865
angles (deg): 90.00 105.12 120.00
Site moments in Bohr magnetons follow the coordinates.
Fractional coordinates of all 4 atoms:
Sm1 0.979 0.388 0.382  0.24
Er1 0.291 0.544 0.850  0.06
Bi1 0.128 0.962 0.106  0.01
S1 0.479 0.138 0.632  -0.01

Computed properties:
Calculated total energy (eV/atom): -5.53
Formation energy from raw total energies (eV/f.u.): -4.85
Symmetry: R3m (160)



Rb2Tl12Pd3Pb after structural relaxation, computed with PBE.

a b c (Å): 9.053 9.053 9.053
angles (deg): 70.34 70.34 70.34
Fractional coordinates of all 18 atoms:
Rb1 0.589 0.589 0.589
Rb2 0.411 0.411 0.411
Tl1 0.263 0.263 0.897
Tl2 0.851 0.851 0.388
Tl3 0.388 0.851 0.851
Tl4 0.897 0.263 0.263
Tl5 0.851 0.388 0.851
Tl6 0.263 0.897 0.263
Tl7 0.737 0.737 0.103
Tl8 0.149 0.149 0.612
Tl9 0.612 0.149 0.149
Tl10 0.103 0.737 0.737
Tl11 0.149 0.612 0.149
Tl12 0.737 0.103 0.737
Pd1 0.500 0.000 0.000
Pd2 0.000 0.500 0.000
Pd3 0.000 0.000 0.500
Pb1 0.000 0.000 0.000

Computed properties:
Energy relative to the elements (meV per atom): -0.7
Calculated total energy (eV/atom): -2.76
Symmetry: R-3m (166)



Ac6TbTl2 after structural relaxation, computed with PBE.

a b c (Å): 4.036 7.317 12.939
angles (deg): 74.01 81.03 73.99
Fractional coordinates of all 9 atoms:
Ac1 0.676 0.527 0.121
Ac2 0.324 0.473 0.879
Ac3 0.308 0.787 0.598
Ac4 0.971 0.721 0.336
Ac5 0.029 0.279 0.664
Ac6 0.692 0.213 0.402
Tb1 0.000 0.000 0.000
Tl1 0.362 0.098 0.177
Tl2 0.638 0.902 0.823

Computed properties:
Energy relative to the elements (meV per atom): -133.6
Calculated total energy (eV/atom): -3.91
Symmetry: C2/m (12)



Ca2HfMoI after structural relaxation, computed with PBE.

a b c (Å): 6.226 4.709 6.226
angles (deg): 90.00 90.00 90.00
Site moments in Bohr magnetons follow the coordinates.
Fractional coordinates of all 5 atoms:
I1 0.500 0.500 0.500  0.00
Mo1 0.000 0.500 0.000  0.87
Hf1 0.000 0.000 0.000  -0.30
Ca1 0.000 0.000 0.500  -0.06
Ca2 0.500 0.000 0.000  -0.04

Computed properties:
Calculated total energy (eV/atom): -4.44
Formation energy from raw total energies (eV/f.u.): 4.14
Symmetry: P4/mmm (123)



Ac2TmInPt6 after structural relaxation, computed with PBE.

a b c (Å): 7.172 7.172 7.172
angles (deg): 60.00 60.00 90.00
Fractional coordinates of all 10 atoms:
Ac1 0.250 0.750 0.500
Ac2 0.750 0.250 0.500
Tm1 0.000 0.000 0.000
In1 0.500 0.500 0.000
Pt1 0.251 0.749 0.000
Pt2 0.749 0.749 0.000
Pt3 0.251 0.251 0.498
Pt4 0.749 0.251 0.000
Pt5 0.251 0.251 0.000
Pt6 0.749 0.749 0.502

Computed properties:
Energy relative to the elements (meV per atom): -291.3
Calculated total energy (eV/atom): -5.46
Symmetry: Fm-3m (225)